The following is a PBEsol calculation of an optimized crystal structure of GdScO3, from Alexandria via LeMat-Bulk.

total DFT energy (no corrections)	-10.919	eV/atom
spin magnetization	6.98	μB/f.u.
N(E_F)	0.000	states/eV/f.u.
uncorrected formation energy	-3.558	eV per atom

```
data_GdScO3
_symmetry_space_group_name_H-M 'P n m a'
_symmetry_Int_Tables_number 62
_cell_length_a 5.727
_cell_length_b 7.905
_cell_length_c 5.454
_cell_angle_alpha 90.00
_cell_angle_beta 90.00
_cell_angle_gamma 90.00
loop_
_symmetry_equiv_pos_as_xyz
'x,y,z'
'-x,-y,-z'
'-x+1/2,-y,z+1/2'
'x+1/2,y,-z+1/2'
'x+1/2,-y+1/2,-z+1/2'
'-x+1/2,y+1/2,z+1/2'
'-x,y+1/2,-z'
'x,-y+1/2,z'
loop_
_atom_site_label
_atom_site_type_symbol
_atom_site_fract_x
_atom_site_fract_y
_atom_site_fract_z
_atom_site_occupancy
Gd1 Gd 0.062 0.250 0.019 1
Sc1 Sc 0.000 0.000 0.500 1
O1 O 0.052 0.750 0.376 1
O2 O 0.196 0.565 0.807 1
```